Compound: NbInMoO6
Source: Alexandria
Functional: PBE+U
Structure: optimized geometry

Unit cell a=5.298 b=5.298 c=9.195 alpha=90.00 beta=90.00 gamma=120.00
Last column: magnetic moment on the atom in μB.
Fractional coordinates of all 18 atoms:
1 In 0.667 0.333 0.750  0.02
2 In 0.333 0.667 0.250  0.02
3 O 0.311 0.973 0.628  0.00
4 O 0.662 0.973 0.872  0.00
5 O 0.689 0.662 0.128  0.00
6 O 0.027 0.689 0.872  0.00
7 O 0.027 0.338 0.628  0.00
8 O 0.338 0.027 0.128  0.00
9 O 0.662 0.689 0.628  0.00
10 O 0.689 0.027 0.372  0.00
11 O 0.338 0.311 0.372  0.00
12 O 0.973 0.662 0.372  0.00
13 O 0.311 0.338 0.872  0.00
14 O 0.973 0.311 0.128  0.00
15 Nb 0.333 0.667 0.750  0.08
16 Nb 0.667 0.333 0.250  0.08
17 Mo 0.000 0.000 0.000  1.86
18 Mo 0.000 0.000 0.500  1.86

Computed properties:
Crystal system: trigonal
Symmetry: P-31c (163)
Raw total energy, eV per atom: -7.403